1.
{
  "formula": "AcAl2Ge2",
  "functional": "GGA-PBE",
  "state": "relaxed",
  "lattice": [[4.023, 0.000, -1.503], [-0.562, 3.983, -1.503], [0.213, 0.245, 6.703]],
  "species": ["Ge", "Al", "Ac", "Ge", "Al"],
  "fractional_positions": [[0.376, 0.376, 0.752], [0.250, 0.750, 0.500], [0.000, 0.000, 0.000], [0.624, 0.624, 0.248], [0.750, 0.250, 0.500]],
  "energy_ev_per_atom": -4.55,
  "total_magnetization_mub_per_fu": 0.000,
  "e_form_ev_per_atom": -0.3853
}

2.
{
  "formula": "AcAlGe",
  "functional": "GGA-PBE",
  "state": "relaxed",
  "lattice": [[4.766, 0.000, 0.000], [0.000, 7.627, 0.000], [0.000, 0.000, 9.128]],
  "species": ["Ge", "Al", "Al", "Ge", "Ac", "Ge", "Al", "Ge", "Ac", "Ac", "Al", "Ac"],
  "fractional_positions": [[0.750, 0.155, 0.324], [0.250, 0.005, 0.923], [0.250, 0.505, 0.577], [0.750, 0.655, 0.176], [0.750, 0.143, 0.663], [0.250, 0.845, 0.676], [0.750, 0.495, 0.423], [0.250, 0.345, 0.824], [0.250, 0.857, 0.337], [0.750, 0.643, 0.837], [0.750, 0.995, 0.077], [0.250, 0.357, 0.163]],
  "energy_ev_per_atom": -4.71,
  "total_magnetization_mub_per_fu": 0.000,
  "e_form_ev_per_atom": -0.5576
}

no.,excess energy over the best structure of this formula in the dataset (meV/atom)
1,0
2,64